No. 1
Pm3GaCo3 | PBE | optimized geometry

Results
volume	559.6	Å³/cell

Lattice parameters (Å, degrees): 4.176 10.180 13.163 90.00 90.00 90.00
Space group Cmcm (No. 63)
Symmetry-distinct sites (fractional):
Pm1 0.000 0.001 0.250 [4 per cell]
Pm2 0.000 0.290 0.603 [8 per cell]
Ga1 0.000 0.000 0.000 [4 per cell]
Co1 0.000 0.309 0.250 [4 per cell]
Co2 0.000 0.420 0.095 [8 per cell]



No. 2
RbSnPd | PBE | optimized geometry

Results
offset from the most stable computed form	139	meV per atom
volume	170.3	Å³/cell

Lattice parameters (Å, degrees): 3.580 3.580 13.283 90.00 90.00 90.00
Space group I4mm (No. 107)
Symmetry-distinct sites (fractional):
Rb1 0.000 0.000 0.000 [2 per cell]
Sn1 0.000 0.000 0.716 [2 per cell]
Pd1 0.000 0.000 0.297 [2 per cell]



no.,electronic total energy (eV/atom),formation enthalpy at 0 K (eV/atom),magnetization (μB per atom)
1,-5.7636,-0.2498,0.1600
2,-3.6368,-0.2490,0.0000